Entry from Alexandria: a relaxed BiSb2Se2 crystal (PBE-GGA).

```
BiSb2Se2
1.0
4.093 0.000 0.000
0.000 4.093 0.000
2.046 2.046 8.434
Sb Se Bi
2 2 1
Direct
0.250 0.750 0.500
0.750 0.250 0.500
0.592 0.592 0.817
0.408 0.408 0.183
0.000 0.000 0.000
```

## Properties
- formation energy from raw total energies (eV/f.u.) = 1.0
- total DFT energy (no corrections) (eV for the cell shown) = -18.075